This record from Alexandria via LeMat-Bulk describes a relaxed PmGdTmHg crystal. The functional is PBE.

```
data_PmGdTmHg
_chemical_formula_sum 'Pm4 Gd4 Tm4 Hg4'
_symmetry_space_group_name_H-M 'F -4 3 m'
_symmetry_Int_Tables_number 216
_symmetry_space_group_name_Hall 'F -4 2 3'
_cell_length_a 7.671
_cell_length_b 7.671
_cell_length_c 7.671
_cell_angle_alpha 90.00
_cell_angle_beta 90.00
_cell_angle_gamma 90.00
loop_
_atom_site_label
_atom_site_type_symbol
_atom_site_fract_x
_atom_site_fract_y
_atom_site_fract_z
Pm1 Pm 0.000 0.000 0.000
Gd1 Gd 0.250 0.250 0.750
Tm1 Tm 0.250 0.250 0.250
Hg1 Hg 0.000 0.000 0.500
```

Values from the calculation:
**Energy of formation**: -35 meV per atom
**ρ**: 9.9 g cm⁻³
**Calculated volume**: 28.2 Å³ per atom
**Final energy**: -5.936 eV per atom

***

This record from Alexandria via LeMat-Bulk describes a relaxed Rb2Hg2Bi2Pb5 crystal. The functional is PBE.

```
data_Rb2Hg2Bi2Pb5
_chemical_formula_sum 'Rb4 Hg4 Bi4 Pb10'
_symmetry_space_group_name_H-M 'I 4/m m m'
_symmetry_Int_Tables_number 139
_symmetry_space_group_name_Hall '-I 4 2'
_cell_length_a 5.410
_cell_length_b 5.410
_cell_length_c 34.061
_cell_angle_alpha 90.00
_cell_angle_beta 90.00
_cell_angle_gamma 90.00
loop_
_atom_site_label
_atom_site_type_symbol
_atom_site_fract_x
_atom_site_fract_y
_atom_site_fract_z
Rb1 Rb 0.000 0.000 0.208
Hg1 Hg 0.000 0.000 0.083
Bi1 Bi 0.000 0.000 0.323
Pb1 Pb 0.000 0.000 0.000
Pb2 Pb 0.000 0.500 0.122
```

Values from the calculation:
**Energy of formation**: 61 meV per atom
**ρ**: 6.7 g cm⁻³
**Calculated volume**: 45.3 Å³ per atom
**Final energy**: -2.561 eV per atom

***

This record from Alexandria via LeMat-Bulk describes a relaxed Pm5Nd12Mg2 crystal. The functional is PBE.

```
data_Pm5Nd12Mg2
_chemical_formula_sum 'Pm10 Nd24 Mg4'
_symmetry_space_group_name_H-M 'C 1 2/m 1'
_symmetry_Int_Tables_number 12
_symmetry_space_group_name_Hall '-C 2y'
_cell_length_a 15.957
_cell_length_b 9.318
_cell_length_c 8.715
_cell_angle_alpha 90.00
_cell_angle_beta 93.22
_cell_angle_gamma 90.00
loop_
_atom_site_label
_atom_site_type_symbol
_atom_site_fract_x
_atom_site_fract_y
_atom_site_fract_z
Pm1 Pm 0.000 0.000 0.000
Pm2 Pm 0.205 0.500 0.529
Pm3 Pm 0.232 0.000 0.070
Nd1 Nd 0.058 0.500 0.840
Nd2 Nd 0.076 0.000 0.381
Nd3 Nd 0.129 0.305 0.186
Nd4 Nd 0.145 0.184 0.737
Mg1 Mg 0.000 0.337 0.500
```

Values from the calculation:
**Energy of formation**: 79 meV per atom
**ρ**: 6.4 g cm⁻³
**Calculated volume**: 34.0 Å³ per atom
**Final energy**: -4.350 eV per atom

***

This record from Alexandria via LeMat-Bulk describes a relaxed Ga2Te2H crystal. The functional is PBE.

```
data_Ga2Te2H
_chemical_formula_sum 'Ga4 Te4 H2'
_symmetry_space_group_name_H-M 'I 4/m m m'
_symmetry_Int_Tables_number 139
_symmetry_space_group_name_Hall '-I 4 2'
_cell_length_a 4.949
_cell_length_b 4.949
_cell_length_c 13.735
_cell_angle_alpha 90.00
_cell_angle_beta 90.00
_cell_angle_gamma 90.00
loop_
_atom_site_label
_atom_site_type_symbol
_atom_site_fract_x
_atom_site_fract_y
_atom_site_fract_z
Ga1 Ga 0.000 0.500 0.250
Te1 Te 0.000 0.000 0.151
H1 H 0.000 0.000 0.500
```

Values from the calculation:
**ρ**: 3.9 g cm⁻³
**Calculated volume**: 33.6 Å³ per atom
**Final energy**: -2.823 eV per atom

***

This record from Alexandria via LeMat-Bulk describes a relaxed Tb7Ho12Al crystal. The functional is PBE.

```
data_Tb7Ho12Al
_chemical_formula_sum 'Tb21 Ho36 Al3'
_symmetry_space_group_name_H-M 'R -3'
_symmetry_Int_Tables_number 148
_symmetry_space_group_name_Hall '-R 3'
_cell_length_a 11.8554
_cell_length_b 11.8554
_cell_length_c 15.5549
_cell_angle_alpha 90.00
_cell_angle_beta 90.00
_cell_angle_gamma 120.00
loop_
_atom_site_label
_atom_site_type_symbol
_atom_site_fract_x
_atom_site_fract_y
_atom_site_fract_z
Tb1 Tb 0.0000 0.0000 0.0000
Tb2 Tb 0.0591 0.1873 0.2964
Ho1 Ho 0.0405 0.4613 0.2141
Ho2 Ho 0.0556 0.5825 0.5853
Al1 Al 0.0000 0.0000 0.5000
```

Values from the calculation:
**Energy of formation**: 186 meV per atom
**ρ**: 8.2 g cm⁻³
**Calculated volume**: 31.6 Å³ per atom
**Final energy**: -4.368 eV per atom

***

This record from Alexandria via LeMat-Bulk describes a relaxed Ba6PdN crystal. The functional is PBE.

```
data_Ba6PdN
_chemical_formula_sum 'Ba18 Pd3 N3'
_symmetry_space_group_name_H-M 'R -3'
_symmetry_Int_Tables_number 148
_symmetry_space_group_name_Hall '-R 3'
_cell_length_a 7.6111
_cell_length_b 7.6111
_cell_length_c 21.6610
_cell_angle_alpha 90.00
_cell_angle_beta 90.00
_cell_angle_gamma 120.00
loop_
_atom_site_label
_atom_site_type_symbol
_atom_site_fract_x
_atom_site_fract_y
_atom_site_fract_z
Ba1 Ba 0.0091 0.7027 0.0777
Pd1 Pd 0.0000 0.0000 0.5000
N1 N 0.0000 0.0000 0.0000
```

Values from the calculation:
**ρ**: 4.3 g cm⁻³
**Calculated volume**: 45.3 Å³ per atom
**Formation energy without anion corrections**: -0.2340 eV per atom
**Final energy**: -3.366 eV per atom

***

This record from Alexandria via LeMat-Bulk describes a relaxed CdRuPb2O8 crystal. The functional is PBE.

```
data_CdRuPb2O8
_chemical_formula_sum 'Cd1 Ru1 Pb2 O8'
_symmetry_space_group_name_H-M 'P 1 2/m 1'
_symmetry_Int_Tables_number 10
_symmetry_space_group_name_Hall '-P 2y'
_cell_length_a 4.909
_cell_length_b 6.830
_cell_length_c 4.968
_cell_angle_alpha 90.00
_cell_angle_beta 90.58
_cell_angle_gamma 90.00
loop_
_atom_site_label
_atom_site_type_symbol
_atom_site_fract_x
_atom_site_fract_y
_atom_site_fract_z
Cd1 Cd 0.000 0.000 0.000
Ru1 Ru 0.000 0.500 0.000
Pb1 Pb 0.500 0.252 0.500
O1 O 0.192 0.293 0.825
O2 O 0.276 0.500 0.295
O3 O 0.300 0.000 0.316
```

Values from the calculation:
**ρ**: 7.5 g cm⁻³
**Calculated volume**: 13.9 Å³ per atom
**Formation energy without anion corrections**: -0.7830 eV per atom
**Final energy**: -5.556 eV per atom

***

This record from Alexandria via LeMat-Bulk describes a relaxed Sm3HoSn2 crystal. The functional is PBE.

```
data_Sm3HoSn2
_chemical_formula_sum 'Sm3 Ho1 Sn2'
_symmetry_space_group_name_H-M 'P -4 m 2'
_symmetry_Int_Tables_number 115
_symmetry_space_group_name_Hall 'P -4 -2'
_cell_length_a 4.585
_cell_length_b 4.585
_cell_length_c 8.653
_cell_angle_alpha 90.00
_cell_angle_beta 90.00
_cell_angle_gamma 90.00
loop_
_atom_site_label
_atom_site_type_symbol
_atom_site_fract_x
_atom_site_fract_y
_atom_site_fract_z
Sm1 Sm 0.000 0.000 0.000
Sm2 Sm 0.000 0.500 0.652
Ho1 Ho 0.500 0.500 0.000
Sn1 Sn 0.000 0.500 0.278
```

Values from the calculation:
**Energy of formation**: -580 meV per atom
**ρ**: 7.8 g cm⁻³
**Calculated volume**: 30.3 Å³ per atom
**Final energy**: -5.037 eV per atom